Computed, not measured: K2LaCu after structural relaxation at the PBE level of DFT.

Cell: 5.9239 5.9239 5.9239 Å, 60.00 60.00 60.00°
Each line ends with the local moment (μB).
Positions (direct):
K 0.2500 0.2500 0.2500  0.02
K 0.7500 0.7500 0.7500  0.02
La 0.5000 0.5000 0.5000  0.53
Cu 0.0000 0.0000 0.0000  -0.01

Output
* calculated formation energy: 0.84 eV per atom
* energy above the most stable polymorph in this dataset: 2.73 eV/f.u.
* size of the total moment: 1.4 μB/f.u.
* total DFT energy (no corrections): -0.07202 Ha/atom

Computed, not measured: ScCr2Br after structural relaxation at the PBE level of DFT.

Cell: 5.0497 5.0497 5.3382 Å, 72.07 72.07 37.23°
Each line ends with the local moment (μB).
Positions (direct):
Br 0.2819 0.2819 0.2985  0.01
Sc 0.5249 0.5249 0.4441  0.01
Cr 0.9921 0.9921 0.9282  -3.14
Cr 0.7011 0.7011 0.8292  3.28

Output
* energy above the most stable polymorph in this dataset: 1.18 eV/f.u.
* formation energy from raw total energies: 0.283 eV/atom
* size of the total moment: 0.1 μB/f.u.
* total DFT energy (no corrections): -0.23995 Ha/atom

Computed, not measured: Ho6Mg2Ni after structural relaxation at the PBE level of DFT.

Cell: 7.4030 7.2545 9.6446 Å, 90.00 90.99 90.00°
Positions (direct):
Ho 0.4463 0.5000 0.7394
Ho 0.0537 0.0000 0.7606
Ho 0.5537 0.5000 0.2606
Ho 0.7476 0.2509 0.5348
Ho 0.2524 0.7491 0.4652
Ho 0.7524 0.2491 0.9651
Ho 0.7476 0.7491 0.5349
Ho 0.9463 0.0000 0.2394
Ho 0.2476 0.7509 0.0349
Ho 0.2524 0.2509 0.4651
Ho 0.2476 0.2491 0.0348
Ho 0.7524 0.7509 0.9652
Mg 0.9859 0.5000 0.2467
Mg 0.0141 0.5000 0.7533
Mg 0.5141 0.0000 0.2533
Mg 0.4859 0.0000 0.7467
Ni 0.0000 0.0000 0.5000
Ni 0.5000 0.5000 0.0000

Output
* calculated formation energy: -0.04 eV per atom
* size of the total moment: 0.0 μB/f.u.
* total DFT energy (no corrections): -0.15029 Ha/atom

Computed, not measured: Cs2Sc2BiTe2 after structural relaxation at the PBE level of DFT.

Cell: 5.4962 5.4962 10.3615 Å, 105.38 105.38 90.00°
Each line ends with the local moment (μB).
Positions (direct):
Bi 0.0000 0.0000 0.0000  -0.01
Sc 0.5000 0.0000 0.0000  0.26
Sc 0.0000 0.5000 0.0000  0.26
Te 0.4001 0.4001 0.8002  -0.01
Te 0.5999 0.5999 0.1998  -0.01
Cs 0.8128 0.8128 0.6256  0.00
Cs 0.1872 0.1872 0.3744  0.00

Output
* formation energy from raw total energies: -0.697 eV/atom
* size of the total moment: 0.8 μB/f.u.
* total DFT energy (no corrections): -0.15442 Ha/atom

Computed, not measured: Mg2Ti2F after structural relaxation at the PBE level of DFT.

Cell: 3.7584 3.7584 7.4564 Å, 75.40 75.40 90.00°
Each line ends with the local moment (μB).
Positions (direct):
Ti 0.5717 0.5717 0.8567  0.23
Ti 0.4283 0.4283 0.1433  0.23
Mg 0.2500 0.7500 0.5000  0.00
Mg 0.7500 0.2500 0.5000  0.00
F 0.0000 0.0000 0.0000  0.02

Output
* energy above the most stable polymorph in this dataset: 4.37 eV/f.u.
* formation energy from raw total energies: 0.285 eV/atom
* size of the total moment: 0.5 μB/f.u.
* total DFT energy (no corrections): -0.14277 Ha/atom

Computed, not measured: KAc2Pt after structural relaxation at the PBE level of DFT.

Cell: 4.4626 4.4626 12.1723 Å, 79.44 79.44 60.00°
Positions (direct):
Ac 0.1223 0.1223 0.6331
Ac 0.8777 0.8777 0.3669
K 0.0000 0.0000 0.0000
Pt 0.5000 0.5000 0.5000

Output
* calculated formation energy: -0.53 eV per atom
* size of the total moment: 0.0 μB/f.u.
* total DFT energy (no corrections): -0.16038 Ha/atom

- Look up the total DFT energy (no corrections) of the sixth one.
  -0.16038 Ha/atom